VASP calculation (PBE+U) on a relaxed Cs2FeI6O crystal.

Final energy = -2.6981 eV/atom
Total moment = 3.94 Bohr magnetons per cell

Lattice parameters (Å, degrees): 8.4427 8.4427 8.4427 125.12 125.12 81.33
With the nearest neighbours (Å) after each atom.
Atoms (fractional coordinates):
Cs (0.2500, 0.7500, 0.5000)  12 I 3.92-4.23
Cs (0.7500, 0.2500, 0.5000)  12 I 3.92-4.23
Fe (0.0000, 0.0000, 0.0000)  2 I 2.69
I (0.2098, 0.2098, 0.0000)  1 Fe 2.69
I (0.2737, 0.2737, 0.5474)  1 O 2.49
I (0.2737, 0.7263, 0.0000)  1 O 2.49
I (0.7263, 0.2737, 0.0000)  1 O 2.49
I (0.7263, 0.7263, 0.4526)  1 O 2.49
I (0.7902, 0.7902, 0.0000)  1 Fe 2.69
O (0.5000, 0.5000, 0.0000)  4 I 2.49